This record from the Alexandria database describes a geometry-optimized DyPuTlIn structure. The functional is PBE-GGA.

Computed properties:
DFT total energy ... -6.213 eV/atom
Volume ... 27.4 Å³/atom
Fermi-level density of states ... 2.4712 states/eV per atom
Density ... 11.0 Mg/m³
Crystal system ... cubic
Magnetic moment ... 6.07 μB per formula unit

a = 7.5996 Å, b = 7.5996 Å, c = 7.5996 Å
α = 90.00°, β = 90.00°, γ = 90.00°
With the nearest neighbours (Å) after each atom.
Space group F-43m (No. 216)
One atom of each set of equivalent atoms:
1 Dy 0.0000 0.0000 0.0000 [4 per cell]  4 Tl 3.29, 4 In 3.29
2 Pu 0.0000 0.0000 0.5000 [4 per cell]  4 Tl 3.29, 4 In 3.29
3 Tl 0.2500 0.2500 0.7500 [4 per cell]  4 Dy 3.29, 4 Pu 3.29
4 In 0.2500 0.2500 0.2500 [4 per cell]  4 Dy 3.29, 4 Pu 3.29

***

This record from the Alexandria database describes a geometry-optimized Rb2DyInSe4 structure. The functional is PBE-GGA.

Computed properties:
DFT total energy ... -4.097 eV/atom
Volume ... 30.4 Å³/atom
Formation energy from raw total energies ... -1195 meV per atom
Fermi-level density of states ... 0.0437 states/eV per atom
Density ... 5.2 Mg/m³
Crystal system ... orthorhombic
Magnetic moment ... 0.00 μB per formula unit

a = 8.7824 Å, b = 8.7965 Å, c = 12.5905 Å
α = 90.00°, β = 90.00°, γ = 90.00°
With the nearest neighbours (Å) after each atom.
Space group Imma (No. 74)
One atom of each set of equivalent atoms:
1 Rb 0.0000 0.0000 0.0000 [4 per cell]  6 Se 3.33-3.36
2 Rb 0.2500 0.2500 0.2500 [4 per cell]  6 Se 3.36-3.37
3 Dy 0.0000 0.0000 0.5000 [4 per cell]  6 Se 2.92-2.97
4 In 0.2500 0.2500 0.7500 [4 per cell]  6 Se 2.88-2.96
5 Se 0.0000 0.0396 0.7342 [8 per cell]  2 In 2.88, 1 Dy 2.97
6 Se 0.2168 0.2500 0.5161 [8 per cell]  2 Dy 2.92, 1 In 2.96

***

This record from the Alexandria database describes a geometry-optimized Rb2DyInTe4 structure. The functional is PBE-GGA.

Computed properties:
DFT total energy ... -3.692 eV/atom
Volume ... 39.0 Å³/atom
Formation energy from raw total energies ... -962 meV per atom
Fermi-level density of states ... 0.0000 states/eV per atom
Density ... 5.1 Mg/m³
Crystal system ... tetragonal
Magnetic moment ... 0.00 μB per formula unit

a = 9.0764 Å, b = 9.0764 Å, c = 7.5773 Å
α = 90.00°, β = 90.00°, γ = 90.00°
With the nearest neighbours (Å) after each atom.
Space group I-42m (No. 121)
One atom of each set of equivalent atoms:
1 Rb 0.0000 0.5000 0.0000 [4 per cell]  2 Rb 3.79, 8 Te 3.81-3.90
2 Dy 0.0000 0.0000 0.0000 [2 per cell]  4 Te 2.98
3 In 0.0000 0.0000 0.5000 [2 per cell]  4 Te 2.86
4 Te 0.1735 0.1735 0.7379 [8 per cell]  1 In 2.86, 1 Dy 2.98

***

This record from the Alexandria database describes a geometry-optimized RbDyInTe3 structure. The functional is PBE-GGA.

Computed properties:
DFT total energy ... -3.932 eV/atom
Volume ... 39.1 Å³/atom
Formation energy from raw total energies ... -977 meV per atom
Fermi-level density of states ... 0.4590 states/eV per atom
Density ... 5.3 Mg/m³
Crystal system ... monoclinic
Magnetic moment ... 0.00 μB per formula unit

a = 9.5809 Å, b = 4.3216 Å, c = 12.0086 Å
α = 90.00°, β = 109.45°, γ = 90.00°
With the nearest neighbours (Å) after each atom.
Space group P2_1/m (No. 11)
One atom of each set of equivalent atoms:
1 Rb 0.2295 0.2500 0.2803 [2 per cell]  7 Te 3.69-4.02, 1 In 3.96
2 Dy 0.3636 0.7500 0.8466 [2 per cell]  6 Te 3.07-3.14
3 In 0.1230 0.2500 0.5720 [2 per cell]  3 Te 2.87-2.97
4 Te 0.1184 0.2500 0.8095 [2 per cell]  1 In 2.87, 2 Dy 3.11
5 Te 0.3385 0.7500 0.5790 [2 per cell]  2 In 2.97, 1 Dy 3.14
6 Te 0.3965 0.7500 0.1098 [2 per cell]  3 Dy 3.07

***

This record from the Alexandria database describes a geometry-optimized Dy4InRe structure. The functional is PBE-GGA.

Computed properties:
DFT total energy ... -5.795 eV/atom
Volume ... 28.0 Å³/atom
Fermi-level density of states ... 0.9984 states/eV per atom
Density ... 9.4 Mg/m³
Crystal system ... monoclinic
Magnetic moment ... 0.00 μB per formula unit

a = 8.7463 Å, b = 13.1432 Å, c = 6.1448 Å
α = 90.00°, β = 107.83°, γ = 90.00°
With the nearest neighbours (Å) after each atom.
Space group C2/c (No. 15)
One atom of each set of equivalent atoms:
1 Dy 0.1085 0.1693 0.0491 [8 per cell]  2 Re 2.85-2.86
2 Dy 0.2222 0.4234 0.3856 [8 per cell]  2 Re 2.93-2.98, 1 In 3.24
3 In 0.0000 0.3754 0.7500 [4 per cell]  8 Dy 3.24-3.44
4 Re 0.0000 0.0000 0.2500 [4 per cell]  8 Dy 2.85-2.98, 2 Re 3.07

***

This record from the Alexandria database describes a geometry-optimized Dy2In8Rh structure. The functional is PBE-GGA.

Computed properties:
DFT total energy ... -3.905 eV/atom
Volume ... 23.8 Å³/atom
Fermi-level density of states ... 0.5263 states/eV per atom
Density ... 8.5 Mg/m³
Crystal system ... tetragonal
Magnetic moment ... 0.00 μB per formula unit

a = 4.6449 Å, b = 4.6449 Å, c = 12.1571 Å
α = 90.00°, β = 90.00°, γ = 90.00°
With the nearest neighbours (Å) after each atom.
Space group P4/mmm (No. 123)
One atom of each set of equivalent atoms:
1 Dy 0.0000 0.0000 0.1904 [2 per cell]  12 In 3.25-3.28
2 In 0.0000 0.5000 0.0000 [2 per cell]  4 Dy 3.28, 8 In 3.28
3 In 0.0000 0.5000 0.3769 [4 per cell]  2 Rh 2.76, 1 In 2.99
4 In 0.5000 0.5000 0.1907 [2 per cell]  8 In 3.24-3.28, 4 Dy 3.28
5 Rh 0.0000 0.0000 0.5000 [1 per cell]  8 In 2.76

***

This record from the Alexandria database describes a geometry-optimized DyIn2Rh structure. The functional is PBE-GGA.

Computed properties:
DFT total energy ... -4.954 eV/atom
Volume ... 22.1 Å³/atom
Fermi-level density of states ... 0.4668 states/eV per atom
Density ... 9.3 Mg/m³
Crystal system ... orthorhombic
Magnetic moment ... 0.00 μB per formula unit

a = 15.5394 Å, b = 8.2136 Å, c = 5.5344 Å
α = 90.00°, β = 90.00°, γ = 90.00°
With the nearest neighbours (Å) after each atom.
Space group Pnma (No. 62)
One atom of each set of equivalent atoms:
1 Dy 0.1041 0.2500 0.2392 [4 per cell]  3 Rh 2.97-3.03, 2 In 3.29
2 Dy 0.1394 0.7500 0.4577 [4 per cell]  3 Rh 2.88-3.04
3 In 0.0367 0.0495 0.7457 [8 per cell]  3 Rh 2.80-2.82, 2 In 3.06-3.12
4 In 0.2146 0.5470 0.9657 [8 per cell]  3 Rh 2.77-2.78, 2 In 3.08
5 Rh 0.0711 0.7500 0.9733 [4 per cell]  6 In 2.78-2.82, 3 Dy 2.88-3.04
6 Rh 0.1822 0.2500 0.7411 [4 per cell]  6 In 2.77-2.80, 3 Dy 3.01-3.03

***

This record from the Alexandria database describes a geometry-optimized Dy3In2Rh3 structure. The functional is PBE-GGA.

Computed properties:
DFT total energy ... -5.865 eV/atom
Volume ... 21.5 Å³/atom
Fermi-level density of states ... 0.6328 states/eV per atom
Density ... 9.9 Mg/m³
Crystal system ... hexagonal
Magnetic moment ... 0.00 μB per formula unit

a = 8.1994 Å, b = 8.1994 Å, c = 5.8952 Å
α = 90.00°, β = 90.00°, γ = 120.00°
With the nearest neighbours (Å) after each atom.
Space group P6_3/mcm (No. 193)
One atom of each set of equivalent atoms:
1 Dy 0.0000 0.2709 0.2500 [6 per cell]  3 Rh 2.77-2.85
2 In 0.3333 0.6667 0.0000 [4 per cell]  6 Rh 2.93, 2 In 2.95
3 Rh 0.0000 0.3915 0.7500 [6 per cell]  3 Dy 2.77-2.85, 4 In 2.93

***

This record from the Alexandria database describes a geometry-optimized DyIn8Rh2 structure. The functional is PBE-GGA.

Computed properties:
DFT total energy ... -3.973 eV/atom
Volume ... 23.7 Å³/atom
Fermi-level density of states ... 0.4038 states/eV per atom
Density ... 8.2 Mg/m³
Crystal system ... monoclinic
Magnetic moment ... 0.00 μB per formula unit

a = 8.7036 Å, b = 11.8295 Å, c = 5.1791 Å
α = 90.00°, β = 101.65°, γ = 90.00°
With the nearest neighbours (Å) after each atom.
Space group C2/m (No. 12)
One atom of each set of equivalent atoms:
1 Dy 0.0000 0.0000 0.0000 [2 per cell]  8 In 3.17-3.35
2 In 0.0000 0.2678 0.0000 [4 per cell]  2 Rh 2.63
3 In 0.1175 0.5000 0.7889 [4 per cell]  2 Rh 2.82
4 In 0.2077 0.1278 0.6052 [8 per cell]  2 Rh 2.75-2.82, 1 In 3.02
5 Rh 0.0000 0.3054 0.5000 [4 per cell]  8 In 2.63-2.82

***

This record from the Alexandria database describes a geometry-optimized DyIn2Rh structure. The functional is PBE-GGA.

Computed properties:
DFT total energy ... -4.773 eV/atom
Volume ... 21.5 Å³/atom
Fermi-level density of states ... 0.5026 states/eV per atom
Density ... 9.5 Mg/m³
Crystal system ... tetragonal
Magnetic moment ... 0.00 μB per formula unit

a = 4.2372 Å, b = 4.2372 Å, c = 4.7973 Å
α = 90.00°, β = 90.00°, γ = 90.00°
With the nearest neighbours (Å) after each atom.
Space group P4/mmm (No. 123)
One atom of each set of equivalent atoms:
1 Dy 0.0000 0.0000 0.0000 [1 per cell]  4 Rh 3.00, 8 In 3.20
2 In 0.0000 0.5000 0.5000 [2 per cell]  4 In 3.00, 4 Dy 3.20, 4 Rh 3.20
3 Rh 0.5000 0.5000 0.0000 [1 per cell]  4 Dy 3.00, 8 In 3.20

***

This record from the Alexandria database describes a geometry-optimized Dy3InRh structure. The functional is PBE-GGA.

Computed properties:
DFT total energy ... -5.213 eV/atom
Volume ... 28.4 Å³/atom
Fermi-level density of states ... 0.8511 states/eV per atom
Density ... 8.2 Mg/m³
Energy relative to the lowest polymorph listed for this composition ... 71 meV/atom
Crystal system ... orthorhombic
Magnetic moment ... 0.00 μB per formula unit

a = 14.7870 Å, b = 10.6720 Å, c = 7.2056 Å
α = 90.00°, β = 90.00°, γ = 90.00°
With the nearest neighbours (Å) after each atom.
Space group Cmcm (No. 63)
One atom of each set of equivalent atoms:
1 Dy 0.1309 0.0000 0.0000 [8 per cell]  2 Rh 2.74
2 Dy 0.1429 0.3328 0.0069 [16 per cell]  2 Rh 2.75-2.87
3 In 0.0000 0.1813 0.7500 [4 per cell]  8 Dy 3.24-3.28, 1 In 3.36
4 In 0.0000 0.4959 0.7500 [4 per cell]  8 Dy 3.30-3.31, 3 In 3.36-3.60
5 Rh 0.2202 0.1482 0.2500 [8 per cell]  6 Dy 2.74-2.87

***

This record from the Alexandria database describes a geometry-optimized Dy3In7Rh4 structure. The functional is PBE-GGA.

Computed properties:
DFT total energy ... -4.975 eV/atom
Volume ... 21.8 Å³/atom
Fermi-level density of states ... 0.5006 states/eV per atom
Density ... 9.3 Mg/m³
Crystal system ... monoclinic
Magnetic moment ... 0.00 μB per formula unit

a = 16.1942 Å, b = 4.4146 Å, c = 10.0345 Å
α = 90.00°, β = 121.81°, γ = 90.00°
With the nearest neighbours (Å) after each atom.
Space group C2/m (No. 12)
One atom of each set of equivalent atoms:
1 Dy 0.0000 0.0000 0.0000 [2 per cell]  6 Rh 3.14-3.47
2 Dy 0.1955 0.5000 0.7094 [4 per cell]  4 Rh 3.05-3.10, 7 In 3.22-3.39
3 In 0.0000 0.0000 0.5000 [2 per cell]  2 Rh 2.79, 2 In 3.08
4 In 0.0070 0.5000 0.2837 [4 per cell]  3 Rh 2.68-2.77, 1 In 2.99
5 In 0.1633 0.0000 0.4290 [4 per cell]  3 Rh 2.72-2.77
6 In 0.1824 0.5000 0.0233 [4 per cell]  4 Rh 2.64-2.81
7 Rh 0.1143 0.0000 0.8267 [4 per cell]  6 In 2.77-2.81, 2 Dy 3.10
8 Rh 0.1697 0.5000 0.2754 [4 per cell]  5 In 2.64-2.77